Crystalline CrInIr2 at its relaxed geometry, computed with PBE.

Output
Space-group type   Cmmm (65)

Unit cell a=5.8726 b=7.2187 c=2.9485 alpha=90.00 beta=90.00 gamma=90.00
Atoms (fractional coordinates):
Cr 0.0000 0.0000 0.0000
Cr 0.5000 0.5000 0.0000
In 0.0000 0.5000 0.0000
In 0.5000 0.0000 0.0000
Ir 0.2500 0.2500 0.5000
Ir 0.2500 0.7500 0.5000
Ir 0.7500 0.2500 0.5000
Ir 0.7500 0.7500 0.5000



Crystalline Cr2InIr at its relaxed geometry, computed with PBE.

Output
Space-group type   I-4m2 (119)

Unit cell a=4.0052 b=4.0052 c=7.7645 alpha=90.00 beta=90.00 gamma=90.00
Atoms (fractional coordinates):
Cr 0.0000 0.0000 0.0000
Cr 0.0000 0.5000 0.2500
Cr 0.5000 0.0000 0.7500
Cr 0.5000 0.5000 0.5000
In 0.0000 0.5000 0.7500
In 0.5000 0.0000 0.2500
Ir 0.0000 0.0000 0.5000
Ir 0.5000 0.5000 0.0000



Crystalline Cr2InIr at its relaxed geometry, computed with PBE.

Output
Space-group type   P4mm (99)

Unit cell a=2.9260 b=2.9260 c=7.1885 alpha=90.00 beta=90.00 gamma=90.00
Atoms (fractional coordinates):
Cr 0.0000 0.0000 0.0000
Cr 0.5000 0.5000 0.1990
In 0.0000 0.0000 0.4943
Ir 0.5000 0.5000 0.7773



Crystalline MgCrInIr at its relaxed geometry, computed with PBE.

Output
Space-group type   F-43m (216)

Unit cell a=6.4389 b=6.4389 c=6.4389 alpha=90.00 beta=90.00 gamma=90.00
Atoms (fractional coordinates):
Mg 0.0000 0.0000 0.0000
Mg 0.0000 0.5000 0.5000
Mg 0.5000 0.0000 0.5000
Mg 0.5000 0.5000 0.0000
Cr 0.2500 0.2500 0.2500
Cr 0.2500 0.7500 0.7500
Cr 0.7500 0.2500 0.7500
Cr 0.7500 0.7500 0.2500
In 0.0000 0.0000 0.5000
In 0.0000 0.5000 0.0000
In 0.5000 0.0000 0.0000
In 0.5000 0.5000 0.5000
Ir 0.2500 0.2500 0.7500
Ir 0.2500 0.7500 0.2500
Ir 0.7500 0.2500 0.2500
Ir 0.7500 0.7500 0.7500



Crystalline NbCr2InIr at its relaxed geometry, computed with PBE.

Output
Space-group type   P4/mmm (123)

Unit cell a=4.5924 b=4.5924 c=4.7436 alpha=90.00 beta=90.00 gamma=90.00
Atoms (fractional coordinates):
Nb 0.0000 0.0000 0.0000
Cr 0.0000 0.5000 0.5000
Cr 0.5000 0.0000 0.5000
In 0.5000 0.5000 0.5000
Ir 0.5000 0.5000 0.0000



One value per record, in order, for total energy: -7.4910 -7.5991 -7.5573 -5.7531 -6.0621 eV/atom.